RbCdI2O: optimized geometry, PBE.

Structure (POSCAR):
```
RbCdI2O
1.0
6.2568 0.0000 0.0000
0.0000 6.2568 0.0000
0.0000 0.0000 4.3023
Rb Cd I O
1 1 2 1
Cartesian
0.0000 0.0000 0.0000
3.1284 3.1284 2.1512
0.0000 3.1284 2.1512
3.1284 0.0000 2.1512
3.1284 3.1284 0.0000
```

symmetry	No. 123
energy relative to the elements, uncorrected	-3.387	eV per formula unit
ΔE to the lowest computed polymorph	0.00	kcal/mol of atoms